1.
Below is a relaxed LaYBe2 crystal, with properties calculated at the PBE-GGA level.

Calculated values
Energy relative to the elements in eV per atom: 0.50
V in Å³ per cell: 288.17
Energy above the lowest structure with this stoichiometry in kJ/mol of atoms: 38.86
Theoretical density in Mg/m³: 4.25

```
data_LaYBe2
_chemical_formula_sum 'La3 Y3 Be6'
_cell_length_a 3.6539
_cell_length_b 3.6539
_cell_length_c 24.9233
_cell_angle_alpha 90.00
_cell_angle_beta 90.00
_cell_angle_gamma 120.00
_symmetry_space_group_name_H-M 'R -3 m'
_symmetry_Int_Tables_number 166
_symmetry_space_group_name_Hall '-R 3 2"'
loop_
_atom_site_label
_atom_site_type_symbol
_atom_site_fract_x
_atom_site_fract_y
_atom_site_fract_z
La1 La 0.0000 0.0000 0.0000
Y1 Y 0.0000 0.0000 0.5000
Be1 Be 0.0000 0.0000 0.2452
```


2.
Below is a relaxed KZr2Re crystal, with properties calculated at the PBE-GGA level.

Calculated values
Energy relative to the elements in eV per atom: 0.57
V in Å³ per cell: 244.90
Energy above the lowest structure with this stoichiometry in kJ/mol of atoms: 35.81
Theoretical density in Mg/m³: 5.53

```
data_KZr2Re
_chemical_formula_sum 'K2 Zr4 Re2'
_cell_length_a 3.332
_cell_length_b 4.485
_cell_length_c 16.389
_cell_angle_alpha 90.00
_cell_angle_beta 90.00
_cell_angle_gamma 90.00
_symmetry_space_group_name_H-M 'I m m 2'
_symmetry_Int_Tables_number 44
loop_
_symmetry_equiv_pos_as_xyz
'x,y,z'
'-x,-y,z'
'-x,y,z'
'x,-y,z'
'x+1/2,y+1/2,z+1/2'
'-x+1/2,-y+1/2,z+1/2'
'-x+1/2,y+1/2,z+1/2'
'x+1/2,-y+1/2,z+1/2'
loop_
_atom_site_label
_atom_site_type_symbol
_atom_site_fract_x
_atom_site_fract_y
_atom_site_fract_z
K1 K 0.000 0.000 0.000
Zr1 Zr 0.000 0.000 0.317
Zr2 Zr 0.000 0.500 0.189
Re1 Re 0.000 0.500 0.695
```


3.
Below is a relaxed La2CeU2Ru5 crystal, with properties calculated at the PBE-GGA level.

Calculated values
Energy relative to the elements in eV per atom: -0.22
V in Å³ per cell: 422.39
Theoretical density in Mg/m³: 11.00

```
data_La2CeU2Ru5
_chemical_formula_sum 'La4 Ce2 U4 Ru10'
_cell_length_a 10.832
_cell_length_b 10.832
_cell_length_c 3.600
_cell_angle_alpha 90.00
_cell_angle_beta 90.00
_cell_angle_gamma 90.00
_symmetry_space_group_name_H-M 'P 4/m b m'
_symmetry_Int_Tables_number 127
_symmetry_space_group_name_Hall '-P 4 2ab'
loop_
_atom_site_label
_atom_site_type_symbol
_atom_site_fract_x
_atom_site_fract_y
_atom_site_fract_z
La1 La 0.176 0.324 0.000
Ce1 Ce 0.000 0.000 0.000
U1 U 0.137 0.637 0.000
Ru1 Ru 0.000 0.500 0.500
Ru2 Ru 0.052 0.791 0.500
```


4.
Below is a relaxed FeW2I2 crystal, with properties calculated at the PBE-GGA level.

Calculated values
V in Å³ per cell: 190.35
Energy above the lowest structure with this stoichiometry in kJ/mol of atoms: 50.73
Theoretical density in Mg/m³: 11.82
Raw formation energy in kJ/mol of atoms: 191

```
data_FeW2I2
_chemical_formula_sum 'Fe2 W4 I4'
_cell_length_a 7.721
_cell_length_b 7.721
_cell_length_c 3.193
_cell_angle_alpha 90.00
_cell_angle_beta 90.00
_cell_angle_gamma 90.00
_symmetry_space_group_name_H-M 'P 4/m b m'
_symmetry_Int_Tables_number 127
_symmetry_space_group_name_Hall '-P 4 2ab'
loop_
_atom_site_label
_atom_site_type_symbol
_atom_site_fract_x
_atom_site_fract_y
_atom_site_fract_z
Fe1 Fe 0.000 0.000 0.000
W1 W 0.149 0.351 0.500
I1 I 0.154 0.654 0.000
```


5.
Below is a relaxed Ta2InTc crystal, with properties calculated at the PBE-GGA level.

Calculated values
Energy relative to the elements in eV per atom: 0.01
V in Å³ per cell: 73.77
Theoretical density in Mg/m³: 12.94

```
data_Ta2InTc
_chemical_formula_sum 'Ta2 In1 Tc1'
_cell_length_a 3.076
_cell_length_b 3.076
_cell_length_c 7.797
_cell_angle_alpha 90.00
_cell_angle_beta 90.00
_cell_angle_gamma 90.00
_symmetry_space_group_name_H-M 'P 4/m m m'
_symmetry_Int_Tables_number 123
_symmetry_space_group_name_Hall '-P 4 2'
loop_
_atom_site_label
_atom_site_type_symbol
_atom_site_fract_x
_atom_site_fract_y
_atom_site_fract_z
Ta1 Ta 0.000 0.000 0.208
In1 In 0.500 0.500 0.500
Tc1 Tc 0.500 0.500 0.000
```


6.
Below is a relaxed Sc2CdSnC crystal, with properties calculated at the PBE-GGA level.

Calculated values
Energy relative to the elements in eV per atom: -0.33
V in Å³ per cell: 95.05
Theoretical density in Mg/m³: 5.82

```
data_Sc2CdSnC
_chemical_formula_sum 'Sc2 Cd1 Sn1 C1'
_cell_length_a 4.571
_cell_length_b 4.571
_cell_length_c 4.549
_cell_angle_alpha 90.00
_cell_angle_beta 90.00
_cell_angle_gamma 90.00
_symmetry_space_group_name_H-M 'P 4/m m m'
_symmetry_Int_Tables_number 123
_symmetry_space_group_name_Hall '-P 4 2'
loop_
_atom_site_label
_atom_site_type_symbol
_atom_site_fract_x
_atom_site_fract_y
_atom_site_fract_z
Sc1 Sc 0.000 0.500 0.000
Cd1 Cd 0.000 0.000 0.500
Sn1 Sn 0.500 0.500 0.500
C1 C 0.000 0.000 0.000
```


7.
Below is a relaxed GdHg crystal, with properties calculated at the PBE-GGA level.

Calculated values
Energy relative to the elements in eV per atom: -0.50
V in Å³ per cell: 52.77
Theoretical density in Mg/m³: 11.26

```
data_GdHg
_chemical_formula_sum 'Gd1 Hg1'
_cell_length_a 3.751
_cell_length_b 3.751
_cell_length_c 3.751
_cell_angle_alpha 90.00
_cell_angle_beta 90.00
_cell_angle_gamma 90.00
_symmetry_space_group_name_H-M 'P m -3 m'
_symmetry_Int_Tables_number 221
_symmetry_space_group_name_Hall '-P 4 2 3'
loop_
_atom_site_label
_atom_site_type_symbol
_atom_site_fract_x
_atom_site_fract_y
_atom_site_fract_z
Gd1 Gd 0.000 0.000 0.000
Hg1 Hg 0.500 0.500 0.500
```


8.
Below is a relaxed TmMgSc2Bi4 crystal, with properties calculated at the PBE-GGA level.

Calculated values
Energy relative to the elements in eV per atom: -0.51
V in Å³ per cell: 230.90
Theoretical density in Mg/m³: 8.05

```
data_TmMgSc2Bi4
_chemical_formula_sum 'Tm1 Mg1 Sc2 Bi4'
_cell_length_a 7.481
_cell_length_b 4.298
_cell_length_c 7.610
_cell_angle_alpha 90.00
_cell_angle_beta 109.32
_cell_angle_gamma 90.00
_symmetry_space_group_name_H-M 'P 1 2/m 1'
_symmetry_Int_Tables_number 10
loop_
_symmetry_equiv_pos_as_xyz
'x,y,z'
'-x,-y,-z'
'-x,y,-z'
'x,-y,z'
loop_
_atom_site_label
_atom_site_type_symbol
_atom_site_fract_x
_atom_site_fract_y
_atom_site_fract_z
Tm1 Tm 0.000 0.000 0.000
Mg1 Mg 0.500 0.500 0.000
Sc1 Sc 0.000 0.500 0.500
Sc2 Sc 0.500 0.000 0.500
Bi1 Bi 0.251 0.000 0.742
Bi2 Bi 0.256 0.500 0.260
```